BeMo2Pb | GGA-PBE | relaxed

The value obtained for the relative energy among the computed polymorphs is 263 meV/atom. Its formation energy is 0.57 eV/atom.

The space group is C2/m (No. 12) and the conventional cell measures 9.0501, 3.2606 and 4.7681 Å, with angles of 90.00, 104.33 and 90.00 degrees. The inequivalent atoms are Be at (0.0000, 0.0000, 0.0000), Mo at (0.2390, 0.5000, 0.1944) and Pb at (0.0000, 0.5000, 0.5000).

BeMoPb | GGA-PBE | relaxed

The value obtained for the relative energy among the computed polymorphs is 0 meV/atom. Its formation energy is 0.55 eV/atom.

The space group is I4mm (No. 107) and the conventional cell measures 3.2646, 3.2646 and 9.7852 Å, with angles of 90.00, 90.00 and 90.00 degrees. The inequivalent atoms are Be at (0.0000, 0.0000, 0.0000), Mo at (0.0000, 0.0000, 0.5732) and Pb at (0.0000, 0.0000, 0.2770).

Be3MoPb | GGA-PBE | relaxed

The value obtained for the relative energy among the computed polymorphs is 785 meV/atom. Its formation energy is 1.88 eV/atom.

The space group is Pm-3m (No. 221) and the conventional cell measures 4.5225, 4.5225 and 4.5225 Å, with angles of 90.00, 90.00 and 90.00 degrees. The inequivalent atoms are Be at (0.0000, 0.0000, 0.5000), Mo at (0.5000, 0.5000, 0.5000) and Pb at (0.0000, 0.0000, 0.0000).

Be3MoPb | GGA-PBE | relaxed

The value obtained for the relative energy among the computed polymorphs is 0 meV/atom. Its formation energy is 1.10 eV/atom.

The space group is Pm-3m (No. 221) and the conventional cell measures 4.4612, 4.4612 and 4.4612 Å, with angles of 90.00, 90.00 and 90.00 degrees. The inequivalent atoms are Be at (0.0000, 0.0000, 0.5000), Mo at (0.0000, 0.0000, 0.0000) and Pb at (0.5000, 0.5000, 0.5000).

BeMoPb | GGA-PBE | relaxed

The value obtained for the relative energy among the computed polymorphs is 198 meV/atom. Its formation energy is 0.75 eV/atom.

The space group is P3m1 (No. 156) and the conventional cell measures 4.0843, 4.0843 and 3.5830 Å, with angles of 90.00, 90.00 and 120.00 degrees. The inequivalent atoms are Be at (0.0000, 0.0000, 0.0000), Mo at (0.6667, 0.3333, 0.0470) and Pb at (0.3333, 0.6667, 0.5446).

BeMoPb3 | GGA-PBE | relaxed

The value obtained for the relative energy among the computed polymorphs is 83 meV/atom. Its formation energy is 1.03 eV/atom.

The space group is Pm-3m (No. 221) and the conventional cell measures 5.0637, 5.0637 and 5.0637 Å, with angles of 90.00, 90.00 and 90.00 degrees. The inequivalent atoms are Be at (0.0000, 0.0000, 0.0000), Mo at (0.5000, 0.5000, 0.5000) and Pb at (0.0000, 0.0000, 0.5000).

Repeat the fifth record exactly.
BeMoPb | GGA-PBE | relaxed

The value obtained for the relative energy among the computed polymorphs is 198 meV/atom. Its formation energy is 0.75 eV/atom.

The space group is P3m1 (No. 156) and the conventional cell measures 4.0843, 4.0843 and 3.5830 Å, with angles of 90.00, 90.00 and 120.00 degrees. The inequivalent atoms are Be at (0.0000, 0.0000, 0.0000), Mo at (0.6667, 0.3333, 0.0470) and Pb at (0.3333, 0.6667, 0.5446).